[1]
A plane-wave DFT calculation with PBE-GGA was carried out for a relaxed structure of PmAlInPt3.

Total magnetic moment = 0.0 μB/f.u.
Space-group type = Cmcm
E = -5.610 eV/atom

abc: 8.8395 8.8395 5.6950
angles: 90.00 90.00 142.18
With the nearest neighbours (Å) after each atom.
Fractional coordinates of all 12 atoms:
Pm (0.2120, 0.7880, 0.7500)  4 Pt 2.87-3.01
Pm (0.7880, 0.2120, 0.2500)  4 Pt 2.87-3.01
Al (0.0865, 0.9135, 0.2500)  5 Pt 2.46-2.48
Al (0.9135, 0.0865, 0.7500)  5 Pt 2.46-2.48
In (0.3925, 0.6075, 0.2500)  5 Pt 2.66-2.71
In (0.6075, 0.3925, 0.7500)  5 Pt 2.66-2.71
Pt (0.2334, 0.7666, 0.2500)  1 Al 2.46, 1 In 2.66
Pt (0.2495, 0.2495, 0.0000)  2 Al 2.48, 2 In 2.71
Pt (0.2495, 0.2495, 0.5000)  2 Al 2.48, 2 In 2.71
Pt (0.7505, 0.7505, 0.0000)  2 Al 2.48, 2 In 2.71
Pt (0.7505, 0.7505, 0.5000)  2 Al 2.48, 2 In 2.71
Pt (0.7666, 0.2334, 0.7500)  1 Al 2.46, 1 In 2.66

[2]
A plane-wave DFT calculation with PBE-GGA was carried out for a relaxed structure of Pm2Al2InPt5.

Total magnetic moment = 0.0 μB/f.u.
Space-group type = P4/mbm
E = -5.904 eV/atom

abc: 10.0678 10.0678 3.7433
angles: 90.00 90.00 90.00
With the nearest neighbours (Å) after each atom.
Fractional coordinates of all 20 atoms:
Pm (0.1799, 0.3201, 0.0000)  3 Al 2.88-3.06, 6 Pt 3.17-3.21
Pm (0.3201, 0.8201, 0.0000)  3 Al 2.88-3.06, 6 Pt 3.17-3.21
Pm (0.6799, 0.1799, 0.0000)  3 Al 2.88-3.06, 6 Pt 3.17-3.21
Pm (0.8201, 0.6799, 0.0000)  3 Al 2.88-3.06, 6 Pt 3.17-3.21
Al (0.1181, 0.6181, 0.0000)  6 Pt 2.52-2.57
Al (0.3819, 0.1181, 0.0000)  6 Pt 2.52-2.57
Al (0.6181, 0.8819, 0.0000)  6 Pt 2.52-2.57
Al (0.8819, 0.3819, 0.0000)  6 Pt 2.52-2.57
In (0.0000, 0.0000, 0.0000)  8 Pt 2.94
In (0.5000, 0.5000, 0.0000)  8 Pt 2.94
Pt (0.0000, 0.5000, 0.5000)  4 Al 2.52
Pt (0.0635, 0.7846, 0.5000)  2 Al 2.57
Pt (0.2154, 0.0635, 0.5000)  2 Al 2.57
Pt (0.2846, 0.5635, 0.5000)  2 Al 2.57
Pt (0.4365, 0.2846, 0.5000)  2 Al 2.57
Pt (0.5000, 0.0000, 0.5000)  4 Al 2.52
Pt (0.5635, 0.7154, 0.5000)  2 Al 2.57
Pt (0.7154, 0.4365, 0.5000)  2 Al 2.57
Pt (0.7846, 0.9365, 0.5000)  2 Al 2.57
Pt (0.9365, 0.2154, 0.5000)  2 Al 2.57

[3]
A plane-wave DFT calculation with PBE-GGA was carried out for a relaxed structure of Pm2Al3InPt4.

Total magnetic moment = 0.0 μB/f.u.
Space-group type = P-4m2
E = -5.780 eV/atom

abc: 4.3310 4.3310 10.6196
angles: 90.00 90.00 90.00
With the nearest neighbours (Å) after each atom.
Fractional coordinates of all 10 atoms:
Pm (0.0000, 0.5000, 0.2429)  8 Pt 3.27-3.37, 6 Al 3.33-3.48, 2 In 3.48
Pm (0.5000, 0.0000, 0.7571)  8 Pt 3.27-3.37, 6 Al 3.33-3.48, 2 In 3.48
Al (0.0000, 0.5000, 0.8793)  5 Pt 2.45-2.52
Al (0.5000, 0.0000, 0.1207)  5 Pt 2.45-2.52
Al (0.5000, 0.5000, 0.5000)  4 Pt 2.68
In (0.0000, 0.0000, 0.5000)  4 Pt 2.68
Pt (0.0000, 0.0000, 0.0000)  4 Al 2.52
Pt (0.0000, 0.5000, 0.6482)  3 Al 2.45-2.68, 2 In 2.68
Pt (0.5000, 0.0000, 0.3518)  3 Al 2.45-2.68, 2 In 2.68
Pt (0.5000, 0.5000, 0.0000)  4 Al 2.52

[4]
A plane-wave DFT calculation with PBE-GGA was carried out for a relaxed structure of Pm3Al2InPt9.

Total magnetic moment = 0.0 μB/f.u.
Space-group type = P-3m1
E = -6.006 eV/atom

abc: 5.7094 5.7094 11.5845
angles: 90.00 90.00 120.00
With the nearest neighbours (Å) after each atom.
Fractional coordinates of all 15 atoms:
Pm (0.0000, 0.0000, 0.0000)  6 Pt 2.85
Pm (0.3333, 0.6667, 0.5986)  6 Pt 3.02
Pm (0.6667, 0.3333, 0.4014)  6 Pt 3.02
Al (0.3333, 0.6667, 0.1604)  6 Pt 2.46-2.48
Al (0.6667, 0.3333, 0.8396)  6 Pt 2.46-2.48
In (0.0000, 0.0000, 0.5000)  6 Pt 2.67
Pt (0.0000, 0.5000, 0.0000)  2 Al 2.48
Pt (0.1657, 0.3314, 0.3177)  1 Al 2.46, 1 In 2.67
Pt (0.1657, 0.8343, 0.3177)  1 Al 2.46, 1 In 2.67
Pt (0.3314, 0.1657, 0.6823)  1 Al 2.46, 1 In 2.67
Pt (0.5000, 0.0000, 0.0000)  2 Al 2.48
Pt (0.5000, 0.5000, 0.0000)  2 Al 2.48
Pt (0.6686, 0.8343, 0.3177)  1 Al 2.46, 1 In 2.67
Pt (0.8343, 0.1657, 0.6823)  1 Al 2.46, 1 In 2.67
Pt (0.8343, 0.6686, 0.6823)  1 Al 2.46, 1 In 2.67

[5]
A plane-wave DFT calculation with PBE-GGA was carried out for a relaxed structure of Pm2AlInPt6.

Total magnetic moment = 0.0 μB/f.u.
Space-group type = C2/m
E = -6.059 eV/atom

abc: 5.6359 5.6359 8.9791
angles: 108.35 108.35 60.00
With the nearest neighbours (Å) after each atom.
Fractional coordinates of all 10 atoms:
Pm (0.2019, 0.2019, 0.1051)  9 Pt 2.99-3.20
Pm (0.7981, 0.7981, 0.8949)  9 Pt 2.99-3.20
Al (0.5000, 0.5000, 0.0000)  6 Pt 2.50
In (0.0000, 0.0000, 0.5000)  6 Pt 2.80-2.81
Pt (0.2388, 0.7439, 0.2253)  1 Al 2.50, 2 Pt 2.79
Pt (0.2565, 0.2565, 0.7748)  1 Al 2.50, 2 Pt 2.79
Pt (0.2561, 0.7612, 0.7747)  1 Al 2.50, 2 Pt 2.79
Pt (0.7439, 0.2388, 0.2253)  1 Al 2.50, 2 Pt 2.79
Pt (0.7435, 0.7435, 0.2252)  1 Al 2.50, 2 Pt 2.79
Pt (0.7612, 0.2561, 0.7747)  1 Al 2.50, 2 Pt 2.79

[6]
A plane-wave DFT calculation with PBE-GGA was carried out for a relaxed structure of PmAlIn2S6.

Total magnetic moment = 0.0 μB/f.u.
Raw formation energy = -94.3 kJ per mole of atoms
Space-group type = C2/c

abc: 8.6940 8.6940 7.3653
angles: 107.35 107.35 80.72
With the nearest neighbours (Å) after each atom.
Fractional coordinates of all 20 atoms:
Pm (0.1589, 0.8411, 0.7500)  6 S 2.83-3.06
Pm (0.8411, 0.1589, 0.2500)  6 S 2.83-3.06
Al (0.1769, 0.8231, 0.2500)  4 S 2.24-2.30
Al (0.8231, 0.1769, 0.7500)  4 S 2.24-2.30
In (0.2583, 0.3770, 0.8123)  4 S 2.45-2.56
In (0.3770, 0.2583, 0.3123)  4 S 2.45-2.56
In (0.6230, 0.7417, 0.6877)  4 S 2.45-2.56
In (0.7417, 0.6230, 0.1877)  4 S 2.45-2.56
S (0.0513, 0.1648, 0.6487)  1 Al 2.30, 1 In 2.56
S (0.1177, 0.6342, 0.9621)  1 Al 2.24, 1 In 2.48
S (0.1648, 0.0513, 0.1487)  1 Al 2.30, 1 In 2.56
S (0.2504, 0.4790, 0.5295)  2 In 2.45-2.48
S (0.3658, 0.8823, 0.5379)  1 Al 2.24, 1 In 2.48
S (0.4790, 0.2504, 0.0295)  2 In 2.45-2.48
S (0.5210, 0.7496, 0.9705)  2 In 2.45-2.48
S (0.6342, 0.1177, 0.4621)  1 Al 2.24, 1 In 2.48
S (0.7496, 0.5210, 0.4705)  2 In 2.45-2.48
S (0.8352, 0.9487, 0.8513)  1 Al 2.30, 1 In 2.56
S (0.8823, 0.3658, 0.0379)  1 Al 2.24, 1 In 2.48
S (0.9487, 0.8352, 0.3513)  1 Al 2.30, 1 In 2.56

[7]
A plane-wave DFT calculation with PBE-GGA was carried out for a relaxed structure of PmScAlIn.

Total magnetic moment = 0.0 μB/f.u.
Space-group type = F-43m
E = -4.775 eV/atom

abc: 5.1439 5.1439 5.1439
angles: 60.00 60.00 60.00
With the nearest neighbours (Å) after each atom.
Fractional coordinates of all 4 atoms:
Pm (0.0000, 0.0000, 0.0000)  4 In 3.15, 4 Al 3.15
Sc (0.5000, 0.5000, 0.5000)  4 In 3.15, 4 Al 3.15
Al (0.7500, 0.7500, 0.7500)  4 Pm 3.15, 4 Sc 3.15
In (0.2500, 0.2500, 0.2500)  4 Sc 3.15, 4 Pm 3.15

[8]
A plane-wave DFT calculation with PBE-GGA was carried out for a relaxed structure of TbPmAlIn.

Total magnetic moment = 0.0 μB/f.u.
Space-group type = F-43m
E above lowest polymorph = 11.5 meV per atom

abc: 5.2899 5.2899 5.2899
angles: 60.00 60.00 60.00
With the nearest neighbours (Å) after each atom.
Fractional coordinates of all 4 atoms:
Tb (0.0000, 0.0000, 0.0000)  4 In 3.24, 4 Al 3.24
Pm (0.5000, 0.5000, 0.5000)  4 In 3.24, 4 Al 3.24
Al (0.2500, 0.2500, 0.2500)  4 Pm 3.24, 4 Tb 3.24
In (0.7500, 0.7500, 0.7500)  4 Pm 3.24, 4 Tb 3.24

no.,V (Å³ per cell),ρ (g cm⁻³)
1,272.89,10.61
2,379.42,12.55
3,199.20,10.55
4,327.03,11.98
5,230.09,11.56
6,505.60,3.90
7,96.24,5.72
8,104.67,7.07